# CaPm2Sm3Te6

An optimized crystal structure of CaPm2Sm3Te6 (GGA-PBE, Alexandria via LeMat-Bulk).

The space group is C2/m (No. 12) and the conventional cell measures 19.4597, 4.4463 and 8.9532 Å, with angles of 90.00, 103.43 and 90.00 degrees. The inequivalent atoms are Ca at (0.0000, 0.0000, 0.0000), Pm at (0.1715, 0.5000, 0.3419), Sm at (0.0000, 0.0000, 0.5000), Sm at (0.1688, 0.5000, 0.8278), Te at (0.0006, 0.5000, 0.2480), Te at (0.1638, 0.0000, 0.5833) and Te at (0.1649, 0.0000, 0.0805).

Its total energy is -5.14 eV/atom. The density of states at the Fermi level comes out at 0.4937 states/eV per atom. Its uncorrected formation energy is -1.433 eV per atom.